1.
# NbBi2Se | the Alexandria database | PBE-GGA | relaxed
# Final energy ... -4.663 eV/atom
# Raw formation energy ... 666 meV/atom
data_NbBi2Se
_chemical_formula_sum 'Nb4 Bi8 Se4'
_space_group_name_H-M_alt 'I -4 2 d'
_space_group_IT_number 122
_space_group_name_Hall 'I -4 2bw'
_cell_length_a 6.514
_cell_length_b 6.514
_cell_length_c 13.665
_cell_angle_alpha 90.00
_cell_angle_beta 90.00
_cell_angle_gamma 90.00
loop_
_atom_site_label
_atom_site_fract_x
_atom_site_fract_y
_atom_site_fract_z
Nb1 0.000 0.000 0.000
Bi1 0.225 0.250 0.125
Se1 0.000 0.000 0.500


2.
# MgTaOsRu | the Alexandria database | PBE-GGA | relaxed
# Final energy ... -8.762 eV/atom
# Formation enthalpy at 0 K ... -1.10 eV per formula unit
data_MgTaOsRu
_chemical_formula_sum 'Mg4 Ta4 Os4 Ru4'
_space_group_name_H-M_alt 'F -4 3 m'
_space_group_IT_number 216
_space_group_name_Hall 'F -4 2 3'
_cell_length_a 6.280
_cell_length_b 6.280
_cell_length_c 6.280
_cell_angle_alpha 90.00
_cell_angle_beta 90.00
_cell_angle_gamma 90.00
loop_
_atom_site_label
_atom_site_fract_x
_atom_site_fract_y
_atom_site_fract_z
Mg1 0.000 0.000 0.000
Ta1 0.000 0.000 0.500
Os1 0.250 0.250 0.250
Ru1 0.250 0.250 0.750


3.
# KTiAsP2 | the Alexandria database | PBE-GGA | relaxed
# Final energy ... -4.345 eV/atom
# Formation enthalpy at 0 K ... 2.74 eV per formula unit
data_KTiAsP2
_chemical_formula_sum 'K1 Ti1 As1 P2'
_space_group_name_H-M_alt 'P 4/m m m'
_space_group_IT_number 123
_space_group_name_Hall '-P 4 2'
_cell_length_a 5.110
_cell_length_b 5.110
_cell_length_c 4.753
_cell_angle_alpha 90.00
_cell_angle_beta 90.00
_cell_angle_gamma 90.00
loop_
_atom_site_label
_atom_site_fract_x
_atom_site_fract_y
_atom_site_fract_z
K1 0.000 0.000 0.000
Ti1 0.500 0.500 0.000
As1 0.500 0.500 0.500
P1 0.000 0.500 0.500


4.
# HfZnGe | the Alexandria database | PBE-GGA | relaxed
# Final energy ... -5.657 eV/atom
# Formation enthalpy at 0 K ... -1.13 eV per formula unit
data_HfZnGe
_chemical_formula_sum 'Hf2 Zn2 Ge2'
_space_group_name_H-M_alt 'P -1'
_space_group_IT_number 2
_cell_length_a 3.795
_cell_length_b 3.795
_cell_length_c 7.235
_cell_angle_alpha 89.16
_cell_angle_beta 89.84
_cell_angle_gamma 89.99
loop_
_space_group_symop_operation_xyz
'x,y,z'
'-x,-y,-z'
loop_
_atom_site_label
_atom_site_fract_x
_atom_site_fract_y
_atom_site_fract_z
Hf1 0.250 0.249 0.344
Zn1 0.250 0.748 0.000
Ge1 0.250 0.248 0.724


5.
# BeAgRu | the Alexandria database | PBE-GGA | relaxed
# Final energy ... -4.830 eV/atom
# Formation enthalpy at 0 K ... 1.36 eV per formula unit
# Polymorph energy (0 for the lowest one) ... 6.58 kcal/mol of atoms
data_BeAgRu
_chemical_formula_sum 'Be4 Ag4 Ru4'
_space_group_name_H-M_alt 'F -4 3 m'
_space_group_IT_number 216
_space_group_name_Hall 'F -4 2 3'
_cell_length_a 5.539
_cell_length_b 5.539
_cell_length_c 5.539
_cell_angle_alpha 90.00
_cell_angle_beta 90.00
_cell_angle_gamma 90.00
loop_
_atom_site_label
_atom_site_fract_x
_atom_site_fract_y
_atom_site_fract_z
Be1 0.000 0.000 0.000
Ag1 0.250 0.250 0.250
Ru1 0.250 0.250 0.750


6.
# MnReAs2 | the Alexandria database | PBE-GGA | relaxed
# Final energy ... -7.486 eV/atom
# Formation enthalpy at 0 K ... 0.97 eV per formula unit
# Polymorph energy (0 for the lowest one) ... 4.32 kcal/mol of atoms
data_MnReAs2
_chemical_formula_sum 'Mn3 Re3 As6'
_space_group_name_H-M_alt 'R -3 m'
_space_group_IT_number 166
_space_group_name_Hall '-R 3 2"'
_cell_length_a 3.0047
_cell_length_b 3.0047
_cell_length_c 23.2726
_cell_angle_alpha 90.00
_cell_angle_beta 90.00
_cell_angle_gamma 120.00
loop_
_atom_site_label
_atom_site_fract_x
_atom_site_fract_y
_atom_site_fract_z
Mn1 0.0000 0.0000 0.0000
Re1 0.0000 0.0000 0.5000
As1 0.0000 0.0000 0.2497


7.
# LiInSnRh | the Alexandria database | PBE-GGA | relaxed
# Final energy ... -4.426 eV/atom
# Formation enthalpy at 0 K ... -1.70 eV per formula unit
data_LiInSnRh
_chemical_formula_sum 'Li4 In4 Sn4 Rh4'
_space_group_name_H-M_alt 'F -4 3 m'
_space_group_IT_number 216
_space_group_name_Hall 'F -4 2 3'
_cell_length_a 6.549
_cell_length_b 6.549
_cell_length_c 6.549
_cell_angle_alpha 90.00
_cell_angle_beta 90.00
_cell_angle_gamma 90.00
loop_
_atom_site_label
_atom_site_fract_x
_atom_site_fract_y
_atom_site_fract_z
Li1 0.000 0.000 0.000
In1 0.250 0.250 0.250
Sn1 0.250 0.250 0.750
Rh1 0.000 0.000 0.500


8.
# Ba2HgGePd | the Alexandria database | PBE-GGA | relaxed
# Final energy ... -3.261 eV/atom
# Formation enthalpy at 0 K ... -2.35 eV per formula unit
data_Ba2HgGePd
_chemical_formula_sum 'Ba2 Hg1 Ge1 Pd1'
_space_group_name_H-M_alt 'P 4/m m m'
_space_group_IT_number 123
_space_group_name_Hall '-P 4 2'
_cell_length_a 6.186
_cell_length_b 6.186
_cell_length_c 4.761
_cell_angle_alpha 90.00
_cell_angle_beta 90.00
_cell_angle_gamma 90.00
loop_
_atom_site_label
_atom_site_fract_x
_atom_site_fract_y
_atom_site_fract_z
Ba1 0.000 0.500 0.000
Hg1 0.000 0.000 0.500
Ge1 0.500 0.500 0.500
Pd1 0.500 0.500 0.000


9.
# BeCr2Tc | the Alexandria database | PBE-GGA | relaxed
# Final energy ... -8.242 eV/atom
# Formation enthalpy at 0 K ... 0.37 eV per formula unit
data_BeCr2Tc
_chemical_formula_sum 'Be1 Cr2 Tc1'
_space_group_name_H-M_alt 'P 4/m m m'
_space_group_IT_number 123
_space_group_name_Hall '-P 4 2'
_cell_length_a 3.454
_cell_length_b 3.454
_cell_length_c 3.891
_cell_angle_alpha 90.00
_cell_angle_beta 90.00
_cell_angle_gamma 90.00
loop_
_atom_site_label
_atom_site_fract_x
_atom_site_fract_y
_atom_site_fract_z
Be1 0.000 0.000 0.000
Cr1 0.000 0.500 0.500
Tc1 0.500 0.500 0.000


10.
# AcAl2Ag8 | the Alexandria database | PBE-GGA | relaxed
# Final energy ... -2.917 eV/atom
# Formation enthalpy at 0 K ... 2.32 eV per formula unit
data_AcAl2Ag8
_chemical_formula_sum 'Ac1 Al2 Ag8'
_space_group_name_H-M_alt 'P 4/m m m'
_space_group_IT_number 123
_space_group_name_Hall '-P 4 2'
_cell_length_a 5.630
_cell_length_b 5.630
_cell_length_c 8.817
_cell_angle_alpha 90.00
_cell_angle_beta 90.00
_cell_angle_gamma 90.00
loop_
_atom_site_label
_atom_site_fract_x
_atom_site_fract_y
_atom_site_fract_z
Ac1 0.000 0.000 0.000
Al1 0.000 0.500 0.500
Ag1 0.253 0.253 0.296


11.
# HfZn3I | the Alexandria database | PBE-GGA | relaxed
# Final energy ... -2.317 eV/atom
# Raw formation energy ... 748 meV/atom
# Polymorph energy (0 for the lowest one) ... 0.00 kcal/mol of atoms
data_HfZn3I
_chemical_formula_sum 'Hf1 Zn3 I1'
_space_group_name_H-M_alt 'P m -3 m'
_space_group_IT_number 221
_space_group_name_Hall '-P 4 2 3'
_cell_length_a 5.446
_cell_length_b 5.446
_cell_length_c 5.446
_cell_angle_alpha 90.00
_cell_angle_beta 90.00
_cell_angle_gamma 90.00
loop_
_atom_site_label
_atom_site_fract_x
_atom_site_fract_y
_atom_site_fract_z
Hf1 0.000 0.000 0.000
Zn1 0.000 0.000 0.500
I1 0.500 0.500 0.500


12.
# LaTbSm5Er2 | the Alexandria database | PBE-GGA | relaxed
# Final energy ... -4.542 eV/atom
# Formation enthalpy at 0 K ... 1.40 eV per formula unit
data_LaTbSm5Er2
_chemical_formula_sum 'La4 Tb4 Sm20 Er8'
_space_group_name_H-M_alt 'C m c 21'
_space_group_IT_number 36
_cell_length_a 5.685
_cell_length_b 20.156
_cell_length_c 10.628
_cell_angle_alpha 90.00
_cell_angle_beta 90.00
_cell_angle_gamma 90.00
loop_
_space_group_symop_operation_xyz
'x,y,z'
'-x,-y,z+1/2'
'-x,y,z'
'x,-y,z+1/2'
'x+1/2,y+1/2,z'
'-x+1/2,-y+1/2,z+1/2'
'-x+1/2,y+1/2,z'
'x+1/2,-y+1/2,z+1/2'
loop_
_atom_site_label
_atom_site_fract_x
_atom_site_fract_y
_atom_site_fract_z
La1 0.000 0.083 0.000
Tb1 0.000 0.300 0.562
Sm1 0.000 0.021 0.289
Sm2 0.000 0.113 0.574
Sm3 0.000 0.203 0.257
Sm4 0.000 0.219 0.864
Sm5 0.000 0.483 0.574
Er1 0.000 0.385 0.870
Er2 0.000 0.387 0.284


> Among the records above, which one has the highest final energy?

HfZn3I